No. 1
# YPtPbS3 (GGA-PBE, relaxed)
data_YPtPbS3
_space_group_name_H-M_alt 'C m c m'
_space_group_IT_number 63
_space_group_name_Hall '-C 2c 2'
_cell_length_a 3.7953
_cell_length_b 13.6167
_cell_length_c 10.3790
_cell_angle_alpha 90.00
_cell_angle_beta 90.00
_cell_angle_gamma 90.00
loop_
_atom_site_label
_atom_site_fract_x
_atom_site_fract_y
_atom_site_fract_z
Y1 0.0000 0.0000 0.0000
Pt1 0.0000 0.4692 0.2500
Pb1 0.0000 0.2242 0.7500
S1 0.0000 0.0773 0.2500
S2 0.0000 0.3581 0.0577
# **Total energy**: -5.734 eV/atom
# **Crystal system**: orthorhombic


No. 2
# TbSi4Ir2 (GGA-PBE, relaxed)
data_TbSi4Ir2
_space_group_name_H-M_alt 'C 1 m 1'
_space_group_IT_number 8
_cell_length_a 6.8072
_cell_length_b 3.9291
_cell_length_c 10.6316
_cell_angle_alpha 90.00
_cell_angle_beta 90.07
_cell_angle_gamma 90.00
loop_
_space_group_symop_operation_xyz
'x,y,z'
'x,-y,z'
'x+1/2,y+1/2,z'
'x+1/2,-y+1/2,z'
loop_
_atom_site_label
_atom_site_fract_x
_atom_site_fract_y
_atom_site_fract_z
Tb1 0.0000 0.0000 0.0000
Si1 0.0004 0.0000 0.3202
Si2 0.0007 0.0000 0.7380
Si3 0.1672 0.5000 0.1702
Si4 0.1670 0.5000 0.6169
Ir1 0.1671 0.5000 0.3940
Ir2 0.3339 0.0000 0.7414
# **Total energy**: -6.478 eV/atom
# **Crystal system**: monoclinic


No. 3
# PuTlAu (GGA-PBE, relaxed)
data_PuTlAu
_space_group_name_H-M_alt 'F -4 3 m'
_space_group_IT_number 216
_space_group_name_Hall 'F -4 2 3'
_cell_length_a 7.0068
_cell_length_b 7.0068
_cell_length_c 7.0068
_cell_angle_alpha 90.00
_cell_angle_beta 90.00
_cell_angle_gamma 90.00
loop_
_atom_site_label
_atom_site_fract_x
_atom_site_fract_y
_atom_site_fract_z
Pu1 0.0000 0.0000 0.0000
Tl1 0.2500 0.2500 0.7500
Au1 0.0000 0.0000 0.5000
# **Total energy**: -6.486 eV/atom
# **Crystal system**: cubic


No. 4
# Na2YScSn2Pt2 (GGA-PBE, relaxed)
data_Na2YScSn2Pt2
_space_group_name_H-M_alt 'P -4 m 2'
_space_group_IT_number 115
_cell_length_a 4.8001
_cell_length_b 4.8001
_cell_length_c 6.8205
_cell_angle_alpha 90.00
_cell_angle_beta 90.00
_cell_angle_gamma 90.00
loop_
_space_group_symop_operation_xyz
'x,y,z'
'y,-x,-z'
'-x,-y,z'
'-y,x,-z'
'-x,y,z'
'-y,-x,-z'
'x,-y,z'
'y,x,-z'
loop_
_atom_site_label
_atom_site_fract_x
_atom_site_fract_y
_atom_site_fract_z
Na1 0.0000 0.5000 0.2401
Y1 0.0000 0.0000 0.5000
Sc1 0.5000 0.5000 0.0000
Sn1 0.0000 0.0000 0.0000
Sn2 0.5000 0.5000 0.5000
Pt1 0.0000 0.5000 0.7621
# **Total energy**: -5.111 eV/atom
# **Crystal system**: tetragonal


No. 5
# PmTaN2O (GGA-PBE, relaxed)
data_PmTaN2O
_space_group_name_H-M_alt 'P m m a'
_space_group_IT_number 51
_cell_length_a 5.6936
_cell_length_b 3.9566
_cell_length_c 5.8119
_cell_angle_alpha 90.00
_cell_angle_beta 90.00
_cell_angle_gamma 90.00
loop_
_space_group_symop_operation_xyz
'x,y,z'
'-x,-y,-z'
'-x+1/2,-y,z'
'x+1/2,y,-z'
'x+1/2,-y,-z'
'-x+1/2,y,z'
'-x,y,-z'
'x,-y,z'
loop_
_atom_site_label
_atom_site_fract_x
_atom_site_fract_y
_atom_site_fract_z
Pm1 0.2500 0.0000 0.2122
Ta1 0.2500 0.5000 0.7303
N1 0.0000 0.5000 0.5000
N2 0.2500 0.0000 0.8020
O1 0.0000 0.5000 0.0000
# **Total energy**: -9.452 eV/atom
# **Crystal system**: orthorhombic


No. 6
# PrGd2Cd3Ir2Pt (GGA-PBE, relaxed)
data_PrGd2Cd3Ir2Pt
_space_group_name_H-M_alt 'A m m 2'
_space_group_IT_number 38
_cell_length_a 4.0148
_cell_length_b 13.1189
_cell_length_c 7.5484
_cell_angle_alpha 90.00
_cell_angle_beta 90.00
_cell_angle_gamma 90.00
loop_
_space_group_symop_operation_xyz
'x,y,z'
'-x,-y,z'
'-x,y,z'
'x,-y,z'
'x,y+1/2,z+1/2'
'-x,-y+1/2,z+1/2'
'-x,y+1/2,z+1/2'
'x,-y+1/2,z+1/2'
loop_
_atom_site_label
_atom_site_fract_x
_atom_site_fract_y
_atom_site_fract_z
Pr1 0.0000 0.0000 0.0000
Gd1 0.0000 0.2042 0.6140
Cd1 0.5000 0.0000 0.6655
Cd2 0.5000 0.1281 0.2830
Ir1 0.5000 0.1699 0.9085
Pt1 0.0000 0.0000 0.4143
# **Total energy**: -5.145 eV/atom
# **Crystal system**: orthorhombic


No. 7
# InReTeAuSe2 (GGA-PBE, relaxed)
data_InReTeAuSe2
_space_group_name_H-M_alt 'C m c m'
_space_group_IT_number 63
_space_group_name_Hall '-C 2c 2'
_cell_length_a 3.4175
_cell_length_b 16.1666
_cell_length_c 10.4202
_cell_angle_alpha 90.00
_cell_angle_beta 90.00
_cell_angle_gamma 90.00
loop_
_atom_site_label
_atom_site_fract_x
_atom_site_fract_y
_atom_site_fract_z
In1 0.0000 0.1917 0.2500
Re1 0.0000 0.5000 0.0000
Te1 0.0000 0.4665 0.7500
Au1 0.0000 0.1723 0.7500
Se1 0.0000 0.1160 0.5182
# **Total energy**: -4.767 eV/atom
# **Crystal system**: orthorhombic


No. 8
# Be2CdAs (GGA-PBE, relaxed)
data_Be2CdAs
_space_group_name_H-M_alt 'F -4 3 m'
_space_group_IT_number 216
_space_group_name_Hall 'F -4 2 3'
_cell_length_a 6.3338
_cell_length_b 6.3338
_cell_length_c 6.3338
_cell_angle_alpha 90.00
_cell_angle_beta 90.00
_cell_angle_gamma 90.00
loop_
_atom_site_label
_atom_site_fract_x
_atom_site_fract_y
_atom_site_fract_z
Be1 0.0000 0.0000 0.0000
Be2 0.2500 0.2500 0.2500
Cd1 0.2500 0.2500 0.7500
As1 0.0000 0.0000 0.5000
# **Total energy**: -2.492 eV/atom
# **Crystal system**: cubic


No. 9
# NaYHgTe3 (GGA-PBE, relaxed)
data_NaYHgTe3
_space_group_name_H-M_alt 'P n m a'
_space_group_IT_number 62
_cell_length_a 8.9399
_cell_length_b 4.4959
_cell_length_c 18.5125
_cell_angle_alpha 90.00
_cell_angle_beta 90.00
_cell_angle_gamma 90.00
loop_
_space_group_symop_operation_xyz
'x,y,z'
'-x,-y,-z'
'-x+1/2,-y,z+1/2'
'x+1/2,y,-z+1/2'
'x+1/2,-y+1/2,-z+1/2'
'-x+1/2,y+1/2,z+1/2'
'-x,y+1/2,-z'
'x,-y+1/2,z'
loop_
_atom_site_label
_atom_site_fract_x
_atom_site_fract_y
_atom_site_fract_z
Na1 0.0643 0.2500 0.1963
Y1 0.2215 0.2500 0.9627
Hg1 0.0478 0.2500 0.6669
Te1 0.0083 0.2500 0.4279
Te2 0.1237 0.7500 0.0653
Te3 0.2199 0.2500 0.7923
# **Total energy**: -3.718 eV/atom
# **Crystal system**: orthorhombic


No. 10
# CsAcFe (GGA-PBE, relaxed)
data_CsAcFe
_space_group_name_H-M_alt 'F -4 3 m'
_space_group_IT_number 216
_space_group_name_Hall 'F -4 2 3'
_cell_length_a 7.6073
_cell_length_b 7.6073
_cell_length_c 7.6073
_cell_angle_alpha 90.00
_cell_angle_beta 90.00
_cell_angle_gamma 90.00
loop_
_atom_site_label
_atom_site_fract_x
_atom_site_fract_y
_atom_site_fract_z
Cs1 0.0000 0.0000 0.0000
Ac1 0.2500 0.2500 0.2500
Fe1 0.0000 0.0000 0.5000
# **Total energy**: -2.971 eV/atom
# **Crystal system**: cubic


No. 11
# PmGdW (GGA-PBE, relaxed)
data_PmGdW
_space_group_name_H-M_alt 'F -4 3 m'
_space_group_IT_number 216
_space_group_name_Hall 'F -4 2 3'
_cell_length_a 6.9272
_cell_length_b 6.9272
_cell_length_c 6.9272
_cell_angle_alpha 90.00
_cell_angle_beta 90.00
_cell_angle_gamma 90.00
loop_
_atom_site_label
_atom_site_fract_x
_atom_site_fract_y
_atom_site_fract_z
Pm1 0.0000 0.0000 0.0000
Gd1 0.2500 0.2500 0.2500
W1 0.0000 0.0000 0.5000
# **Total energy**: -6.015 eV/atom
# **Crystal system**: cubic


No. 12
# Zn2CuSiS4 (GGA-PBE, relaxed)
data_Zn2CuSiS4
_space_group_name_H-M_alt 'I -4 2 m'
_space_group_IT_number 121
_space_group_name_Hall 'I -4 2'
_cell_length_a 5.4155
_cell_length_b 5.4155
_cell_length_c 10.7600
_cell_angle_alpha 90.00
_cell_angle_beta 90.00
_cell_angle_gamma 90.00
loop_
_atom_site_label
_atom_site_fract_x
_atom_site_fract_y
_atom_site_fract_z
Zn1 0.0000 0.5000 0.2500
Cu1 0.0000 0.0000 0.0000
Si1 0.0000 0.0000 0.5000
S1 0.2476 0.2476 0.1206
# **Total energy**: -3.971 eV/atom
# **Crystal system**: tetragonal


No. 13
# LuFeSiNi (GGA-PBE, relaxed)
data_LuFeSiNi
_space_group_name_H-M_alt 'F -4 3 m'
_space_group_IT_number 216
_space_group_name_Hall 'F -4 2 3'
_cell_length_a 6.0436
_cell_length_b 6.0436
_cell_length_c 6.0436
_cell_angle_alpha 90.00
_cell_angle_beta 90.00
_cell_angle_gamma 90.00
loop_
_atom_site_label
_atom_site_fract_x
_atom_site_fract_y
_atom_site_fract_z
Lu1 0.0000 0.0000 0.0000
Fe1 0.2500 0.2500 0.7500
Si1 0.0000 0.0000 0.5000
Ni1 0.2500 0.2500 0.2500
# **Total energy**: -6.288 eV/atom
# **Crystal system**: cubic


No. 14
# CsHfO3 (GGA-PBE, relaxed)
data_CsHfO3
_space_group_name_H-M_alt 'P m -3 m'
_space_group_IT_number 221
_space_group_name_Hall '-P 4 2 3'
_cell_length_a 4.2275
_cell_length_b 4.2275
_cell_length_c 4.2275
_cell_angle_alpha 90.00
_cell_angle_beta 90.00
_cell_angle_gamma 90.00
loop_
_atom_site_label
_atom_site_fract_x
_atom_site_fract_y
_atom_site_fract_z
Cs1 0.0000 0.0000 0.0000
Hf1 0.5000 0.5000 0.5000
O1 0.0000 0.5000 0.5000
# **Total energy**: -7.487 eV/atom
# **Crystal system**: cubic


No. 15
# TmSiO3 (GGA-PBE, relaxed)
data_TmSiO3
_space_group_name_H-M_alt 'I m m a'
_space_group_IT_number 74
_space_group_name_Hall '-I 2b 2'
_cell_length_a 5.2897
_cell_length_b 7.3614
_cell_length_c 5.3502
_cell_angle_alpha 90.00
_cell_angle_beta 90.00
_cell_angle_gamma 90.00
loop_
_atom_site_label
_atom_site_fract_x
_atom_site_fract_y
_atom_site_fract_z
Tm1 0.0000 0.2500 0.0185
Si1 0.0000 0.0000 0.5000
O1 0.0000 0.2500 0.6056
O2 0.2500 0.0564 0.2500
# **Total energy**: -7.361 eV/atom
# **Crystal system**: orthorhombic


No. 16
# Ba2PtS3 (GGA-PBE, relaxed)
data_Ba2PtS3
_space_group_name_H-M_alt 'I m m m'
_space_group_IT_number 71
_space_group_name_Hall '-I 2 2'
_cell_length_a 4.4468
_cell_length_b 4.7643
_cell_length_c 15.5669
_cell_angle_alpha 90.00
_cell_angle_beta 90.00
_cell_angle_gamma 90.00
loop_
_atom_site_label
_atom_site_fract_x
_atom_site_fract_y
_atom_site_fract_z
Ba1 0.0000 0.0000 0.1444
Pt1 0.0000 0.0000 0.5000
S1 0.0000 0.0000 0.3458
S2 0.0000 0.5000 0.5000
# **Total energy**: -5.159 eV/atom
# **Crystal system**: orthorhombic


No. 17
# DyThTa (GGA-PBE, relaxed)
data_DyThTa
_space_group_name_H-M_alt 'F -4 3 m'
_space_group_IT_number 216
_space_group_name_Hall 'F -4 2 3'
_cell_length_a 7.0597
_cell_length_b 7.0597
_cell_length_c 7.0597
_cell_angle_alpha 90.00
_cell_angle_beta 90.00
_cell_angle_gamma 90.00
loop_
_atom_site_label
_atom_site_fract_x
_atom_site_fract_y
_atom_site_fract_z
Dy1 0.0000 0.0000 0.0000
Th1 0.2500 0.2500 0.2500
Ta1 0.2500 0.2500 0.7500
# **Total energy**: -6.702 eV/atom
# **Crystal system**: cubic


No. 18
# NdSmSi2Os (GGA-PBE, relaxed)
data_NdSmSi2Os
_space_group_name_H-M_alt 'C 1 2/m 1'
_space_group_IT_number 12
_cell_length_a 11.0658
_cell_length_b 4.2736
_cell_length_c 10.3399
_cell_angle_alpha 90.00
_cell_angle_beta 119.94
_cell_angle_gamma 90.00
loop_
_space_group_symop_operation_xyz
'x,y,z'
'-x,-y,-z'
'-x,y,-z'
'x,-y,z'
'x+1/2,y+1/2,z'
'-x+1/2,-y+1/2,-z'
'-x+1/2,y+1/2,-z'
'x+1/2,-y+1/2,z'
loop_
_atom_site_label
_atom_site_fract_x
_atom_site_fract_y
_atom_site_fract_z
Nd1 0.1878 0.0000 0.1075
Sm1 0.0085 0.0000 0.6774
Si1 0.0042 0.5000 0.1289
Si2 0.1539 0.5000 0.5636
Os1 0.2269 0.5000 0.3767
# **Total energy**: -7.020 eV/atom
# **Crystal system**: monoclinic


No. 19
# PrGd2Tl3AgPt2 (GGA-PBE, relaxed)
data_PrGd2Tl3AgPt2
_space_group_name_H-M_alt 'A m m 2'
_space_group_IT_number 38
_cell_length_a 3.8629
_cell_length_b 13.8956
_cell_length_c 7.9723
_cell_angle_alpha 90.00
_cell_angle_beta 90.00
_cell_angle_gamma 90.00
loop_
_space_group_symop_operation_xyz
'x,y,z'
'-x,-y,z'
'-x,y,z'
'x,-y,z'
'x,y+1/2,z+1/2'
'-x,-y+1/2,z+1/2'
'-x,y+1/2,z+1/2'
'x,-y+1/2,z+1/2'
loop_
_atom_site_label
_atom_site_fract_x
_atom_site_fract_y
_atom_site_fract_z
Pr1 0.0000 0.0000 0.0000
Gd1 0.0000 0.2064 0.6178
Tl1 0.5000 0.0000 0.6775
Tl2 0.5000 0.1346 0.2791
Ag1 0.0000 0.0000 0.4132
Pt1 0.5000 0.1698 0.9105
# **Total energy**: -4.671 eV/atom
# **Crystal system**: orthorhombic


No. 20
# TmCdAgHg (GGA-PBE, relaxed)
data_TmCdAgHg
_space_group_name_H-M_alt 'F -4 3 m'
_space_group_IT_number 216
_space_group_name_Hall 'F -4 2 3'
_cell_length_a 7.0240
_cell_length_b 7.0240
_cell_length_c 7.0240
_cell_angle_alpha 90.00
_cell_angle_beta 90.00
_cell_angle_gamma 90.00
loop_
_atom_site_label
_atom_site_fract_x
_atom_site_fract_y
_atom_site_fract_z
Tm1 0.0000 0.0000 0.0000
Cd1 0.0000 0.0000 0.5000
Ag1 0.2500 0.2500 0.7500
Hg1 0.2500 0.2500 0.2500
# **Total energy**: -2.449 eV/atom
# **Crystal system**: cubic


No. 21
# PaCoRe (GGA-PBE, relaxed)
data_PaCoRe
_space_group_name_H-M_alt 'F -4 3 m'
_space_group_IT_number 216
_space_group_name_Hall 'F -4 2 3'
_cell_length_a 6.1390
_cell_length_b 6.1390
_cell_length_c 6.1390
_cell_angle_alpha 90.00
_cell_angle_beta 90.00
_cell_angle_gamma 90.00
loop_
_atom_site_label
_atom_site_fract_x
_atom_site_fract_y
_atom_site_fract_z
Pa1 0.0000 0.0000 0.0000
Co1 0.2500 0.2500 0.7500
Re1 0.2500 0.2500 0.2500
# **Total energy**: -8.914 eV/atom
# **Crystal system**: cubic


No. 22
# Sr2ZnCoH6 (GGA-PBE, relaxed)
data_Sr2ZnCoH6
_space_group_name_H-M_alt 'F m -3 m'
_space_group_IT_number 225
_space_group_name_Hall '-F 4 2 3'
_cell_length_a 7.5491
_cell_length_b 7.5491
_cell_length_c 7.5491
_cell_angle_alpha 90.00
_cell_angle_beta 90.00
_cell_angle_gamma 90.00
loop_
_atom_site_label
_atom_site_fract_x
_atom_site_fract_y
_atom_site_fract_z
Sr1 0.2500 0.2500 0.2500
Zn1 0.0000 0.0000 0.0000
Co1 0.0000 0.0000 0.5000
H1 0.0000 0.0000 0.2827
# **Total energy**: -3.524 eV/atom
# **Crystal system**: cubic


No. 23
# CuCl2 (GGA-PBE, relaxed)
data_CuCl2
_space_group_name_H-M_alt 'R -3 m'
_space_group_IT_number 166
_space_group_name_Hall '-R 3 2"'
_cell_length_a 3.5026
_cell_length_b 3.5026
_cell_length_c 17.6247
_cell_angle_alpha 90.00
_cell_angle_beta 90.00
_cell_angle_gamma 120.00
loop_
_atom_site_label
_atom_site_fract_x
_atom_site_fract_y
_atom_site_fract_z
Cu1 0.0000 0.0000 0.0000
Cl1 0.0000 0.0000 0.2572
# **Total energy**: -2.856 eV/atom
# **Crystal system**: trigonal


No. 24
# BiSbMo4C2 (GGA-PBE, relaxed)
data_BiSbMo4C2
_space_group_name_H-M_alt 'P -6 m 2'
_space_group_IT_number 187
_space_group_name_Hall 'P -6 2'
_cell_length_a 3.2685
_cell_length_b 3.2685
_cell_length_c 13.4096
_cell_angle_alpha 90.00
_cell_angle_beta 90.00
_cell_angle_gamma 120.00
loop_
_atom_site_label
_atom_site_fract_x
_atom_site_fract_y
_atom_site_fract_z
Bi1 0.0000 0.0000 0.0000
Sb1 0.3333 0.6667 0.5000
Mo1 0.0000 0.0000 0.3370
Mo2 0.3333 0.6667 0.1798
C1 0.6667 0.3333 0.2550
# **Total energy**: -8.576 eV/atom
# **Crystal system**: hexagonal


No. 25
# YNbSb (GGA-PBE, relaxed)
data_YNbSb
_space_group_name_H-M_alt 'F -4 3 m'
_space_group_IT_number 216
_space_group_name_Hall 'F -4 2 3'
_cell_length_a 6.8036
_cell_length_b 6.8036
_cell_length_c 6.8036
_cell_angle_alpha 90.00
_cell_angle_beta 90.00
_cell_angle_gamma 90.00
loop_
_atom_site_label
_atom_site_fract_x
_atom_site_fract_y
_atom_site_fract_z
Y1 0.0000 0.0000 0.0000
Nb1 0.0000 0.0000 0.5000
Sb1 0.2500 0.2500 0.7500
# **Total energy**: -6.923 eV/atom
# **Crystal system**: cubic